This record from the Alexandria database describes an optimized crystal structure of Pu3ScGa4. The functional is PBE.

Geometry as POSCAR:
```
Pu3ScGa4
1.0
3.106 0.000 0.000
0.000 3.106 0.000
0.000 0.000 17.329
Sc Ga Pu
1 4 3
Direct
0.500 0.500 0.000
0.000 0.000 0.629
0.000 0.000 0.371
0.000 0.000 0.114
0.000 0.000 0.886
0.500 0.500 0.500
0.500 0.500 0.758
0.500 0.500 0.242
```

Calculated values
The value obtained for the energy relative to the elements is -0.3755 eV/atom. For the density of states at the Fermi level, the calculation gives 1.988 states/eV/atom. The total energy comes out at -8.05 eV/atom.

This record from the Alexandria database describes an optimized crystal structure of PuSc5Ga6. The functional is PBE.

Geometry as POSCAR:
```
PuSc5Ga6
1.0
-4.515 -1.643 0.338
0.215 -1.917 -6.446
4.661 -4.706 5.067
Pu Ga Sc
1 6 5
Direct
0.000 0.000 0.000
0.173 0.434 0.345
0.827 0.089 0.655
0.500 0.727 0.000
0.500 0.273 0.000
0.827 0.566 0.655
0.173 0.911 0.345
0.670 0.670 0.340
0.341 0.841 0.682
0.659 0.159 0.318
0.000 0.500 0.000
0.330 0.330 0.660
```

Calculated values
The value obtained for the energy relative to the elements is -0.5382 eV/atom. For the density of states at the Fermi level, the calculation gives 0.810 states/eV/atom. The total energy comes out at -5.88 eV/atom.

This record from the Alexandria database describes an optimized crystal structure of Pu2ScGa9. The functional is PBE.

Geometry as POSCAR:
```
Pu2ScGa9
1.0
4.238 0.000 0.000
0.000 4.238 0.000
0.000 0.000 12.641
Ga Sc Pu
9 1 2
Direct
0.000 0.500 0.500
0.500 0.000 0.160
0.500 0.500 0.000
0.500 0.500 0.666
0.500 0.000 0.500
0.500 0.500 0.334
0.500 0.000 0.840
0.000 0.500 0.840
0.000 0.500 0.160
0.000 0.000 0.000
0.000 0.000 0.328
0.000 0.000 0.672
```

Calculated values
The value obtained for the energy relative to the elements is -0.4173 eV/atom. For the density of states at the Fermi level, the calculation gives 1.670 states/eV/atom. The total energy comes out at -5.60 eV/atom.

This record from the Alexandria database describes an optimized crystal structure of PuScGa2. The functional is PBE.

Geometry as POSCAR:
```
PuScGa2
1.0
-2.679 1.858 -0.665
-3.007 -0.989 1.026
-0.699 4.834 8.002
Pu Sc Ga
1 1 2
Direct
0.500 0.500 0.500
0.000 0.000 0.000
0.255 0.255 0.235
0.745 0.745 0.765
```

Calculated values
The value obtained for the energy relative to the elements is -0.2446 eV/atom. For the density of states at the Fermi level, the calculation gives 2.035 states/eV/atom. The total energy comes out at -6.92 eV/atom.

This record from the Alexandria database describes an optimized crystal structure of PuSc2Ga. The functional is PBE.

Geometry as POSCAR:
```
PuSc2Ga
1.0
3.238 0.000 0.000
0.000 3.238 0.000
0.000 0.000 8.360
Ga Pu Sc
1 1 2
Direct
0.500 0.500 0.000
0.500 0.500 0.500
0.000 0.000 0.785
0.000 0.000 0.215
```

Calculated values
The value obtained for the energy relative to the elements is -0.2511 eV/atom. For the density of states at the Fermi level, the calculation gives 1.875 states/eV/atom. The total energy comes out at -7.76 eV/atom.

This record from the Alexandria database describes an optimized crystal structure of PuSc2Ga. The functional is PBE.

Geometry as POSCAR:
```
PuSc2Ga
1.0
-1.517 -0.007 2.916
-0.984 -2.838 1.334
7.818 -1.833 5.915
Sc Ga Pu
2 1 1
Direct
0.740 0.740 0.779
0.260 0.260 0.221
0.000 0.000 0.000
0.500 0.500 0.500
```

Calculated values
The value obtained for the energy relative to the elements is -0.1379 eV/atom. For the density of states at the Fermi level, the calculation gives 2.263 states/eV/atom. The total energy comes out at -7.64 eV/atom.

This record from the Alexandria database describes an optimized crystal structure of PuScGa3. The functional is PBE.

Geometry as POSCAR:
```
PuScGa3
1.0
4.416 0.000 0.000
0.000 3.423 0.000
0.000 -1.711 13.357
Ga Sc Pu
6 2 2
Direct
0.250 0.681 0.362
0.750 0.624 0.249
0.750 0.319 0.638
0.250 0.376 0.751
0.750 0.525 0.049
0.250 0.475 0.951
0.250 0.788 0.576
0.750 0.212 0.424
0.750 0.925 0.850
0.250 0.075 0.150
```

Calculated values
The value obtained for the energy relative to the elements is -0.4553 eV/atom. For the density of states at the Fermi level, the calculation gives 1.762 states/eV/atom. The total energy comes out at -6.40 eV/atom.

This record from the Alexandria database describes an optimized crystal structure of PuScGaTc. The functional is PBE.

Geometry as POSCAR:
```
PuScGaTc
1.0
-3.226 2.310 -2.673
-4.531 0.357 1.495
-1.717 4.226 1.443
Pu Ga Sc Tc
1 1 1 1
Direct
0.750 0.750 0.750
0.000 0.000 0.000
0.250 0.250 0.250
0.500 0.500 0.500
```

Calculated values
The value obtained for the energy relative to the elements is -0.1689 eV/atom. For the density of states at the Fermi level, the calculation gives 1.990 states/eV/atom. The total energy comes out at -8.68 eV/atom.